[1]
Density functional theory data (GGA-PBE) for a geometry-optimized Li2MnCr structure.

a = 2.9505 Å, b = 4.0347 Å, c = 4.7190 Å
α = 90.00°, β = 90.00°, γ = 90.00°
Last column: nearest neighbours and their distance in Å.
Fractional positions:
Li1 0.0000 0.0000 0.0000  4 Li 2.50, 4 Cr 2.78
Li2 0.5000 0.5000 0.0000  4 Li 2.50, 4 Mn 2.78
Mn1 0.0000 0.5000 0.5000  4 Cr 2.50, 4 Li 2.78
Cr1 0.5000 0.0000 0.5000  4 Mn 2.50, 4 Li 2.78

Summary:
E_form = 0.326 eV/atom
Energy relative to the lowest polymorph listed for this composition = 53.7 meV per atom

=====

[2]
Density functional theory data (GGA-PBE) for a geometry-optimized GePAuN structure.

a = 4.0265 Å, b = 6.0990 Å, c = 6.0990 Å
α = 28.56°, β = 90.00°, γ = 90.00°
Last column: nearest neighbours and their distance in Å.
Fractional positions:
Ge1 0.0000 0.0000 0.0000  2 N 1.92
P1 0.0000 0.2590 0.2590  1 N 1.66
Au1 0.5000 0.1377 0.1377  2 P 2.47, 2 Ge 2.59
N1 0.0000 0.3997 0.3997  1 P 1.66

Summary:
Energy relative to the lowest polymorph listed for this composition = 0.0 meV per atom
Formation energy (no corrections) = 0.085 eV per atom

=====

[3]
Density functional theory data (GGA-PBE) for a geometry-optimized RbBe2F structure.

a = 5.2303 Å, b = 5.2303 Å, c = 5.2303 Å
α = 60.00°, β = 60.00°, γ = 60.00°
Last column: nearest neighbours and their distance in Å.
Fractional positions:
Rb1 0.0000 0.0000 0.0000  8 Be 3.20
Be1 0.2500 0.2500 0.2500  4 F 3.20, 4 Rb 3.20
Be2 0.7500 0.7500 0.7500  4 F 3.20, 4 Rb 3.20
F1 0.5000 0.5000 0.5000  8 Be 3.20

Summary:
Energy relative to the lowest polymorph listed for this composition = 936.7 meV per atom
Formation energy (no corrections) = 0.777 eV per atom

=====

[4]
Density functional theory data (GGA-PBE) for a geometry-optimized TaPAuS2 structure.

a = 4.7129 Å, b = 4.7129 Å, c = 4.9734 Å
α = 90.00°, β = 90.00°, γ = 90.00°
Last column: nearest neighbours and their distance in Å.
Fractional positions:
Ta1 0.0000 0.0000 0.0000  4 S 2.36, 2 P 2.49
P1 0.0000 0.0000 0.5000  2 Ta 2.49
Au1 0.5000 0.5000 0.5000  4 P 3.33, 8 S 3.43
S1 0.0000 0.5000 0.0000  2 Ta 2.36
S2 0.5000 0.0000 0.0000  2 Ta 2.36

Summary:
Energy relative to the lowest polymorph listed for this composition = 0.0 meV per atom
Formation energy (no corrections) = 0.231 eV per atom

=====

[5]
Density functional theory data (GGA-PBE) for a geometry-optimized Pr2TlO structure.

a = 3.2562 Å, b = 3.2562 Å, c = 8.2728 Å
α = 90.00°, β = 90.00°, γ = 90.00°
Last column: nearest neighbours and their distance in Å.
Fractional positions:
Pr1 0.0000 0.0000 0.1941  4 O 2.81
Pr2 0.0000 0.0000 0.8059  4 O 2.81
Tl1 0.5000 0.5000 0.5000  4 Tl 3.26, 8 Pr 3.42
O1 0.5000 0.5000 0.0000  8 Pr 2.81

Summary:
Energy relative to the lowest polymorph listed for this composition = 422.5 meV per atom
Formation energy (no corrections) = -1.111 eV per atom

=====

[6]
Density functional theory data (GGA-PBE) for a geometry-optimized K2TiV structure.

a = 5.8816 Å, b = 5.8816 Å, c = 5.8816 Å
α = 60.00°, β = 60.00°, γ = 60.00°
Last column: nearest neighbours and their distance in Å.
Fractional positions:
K1 0.2500 0.2500 0.2500  4 V 3.60, 4 Ti 3.60
K2 0.7500 0.7500 0.7500  4 V 3.60, 4 Ti 3.60
Ti1 0.0000 0.0000 0.0000  8 K 3.60
V1 0.5000 0.5000 0.5000  8 K 3.60

Summary:
E_form = 1.641 eV/atom
Energy relative to the lowest polymorph listed for this composition = 295.4 meV per atom

=====

[7]
Density functional theory data (GGA-PBE) for a geometry-optimized TeRuCl structure.

a = 4.4828 Å, b = 4.4828 Å, c = 4.4828 Å
α = 60.00°, β = 60.00°, γ = 60.00°
Last column: nearest neighbours and their distance in Å.
Fractional positions:
Te1 0.0000 0.0000 0.0000  4 Ru 2.75
Ru1 0.2500 0.2500 0.2500  4 Cl 2.75, 4 Te 2.75
Cl1 0.5000 0.5000 0.5000  4 Ru 2.75

Summary:
Formation energy (no corrections) = 0.118 eV per atom

=====

[8]
Density functional theory data (GGA-PBE) for a geometry-optimized CaTmPd2 structure.

a = 3.4693 Å, b = 3.4693 Å, c = 7.1271 Å
α = 90.00°, β = 90.00°, γ = 90.00°
Last column: nearest neighbours and their distance in Å.
Fractional positions:
Ca1 0.0000 0.0000 0.0000  8 Pd 3.15, 4 Ca 3.47
Tm1 0.0000 0.0000 0.5000  8 Pd 2.93
Pd1 0.5000 0.5000 0.2762  4 Tm 2.93, 4 Ca 3.15, 1 Pd 3.19
Pd2 0.5000 0.5000 0.7238  4 Tm 2.93, 4 Ca 3.15, 1 Pd 3.19

Summary:
E_form = -0.852 eV/atom